--- P ---
Computed, not measured: a geometry-optimized KCdBr2F structure at the PBE-GGA level of DFT.

Cell lengths 7.6418, 4.1568, 10.1005 Å; angles 90.00, 111.06, 90.00 degrees
Space group P2_1/m (No. 11)
Unique sites:
K 0.2303 0.2500 0.0991 x2
Cd 0.0582 0.2500 0.6839 x2
Br 0.1972 0.2500 0.4622 x2
Br 0.3019 0.7500 0.8315 x2
F 0.0640 0.7500 0.1481 x2

Computed properties:
The volume comes out at 29.94 Å³ per atom. The density is 3.664 g cm⁻³.

***

--- Q ---
Computed, not measured: a geometry-optimized KCdBr2F structure at the PBE-GGA level of DFT.

Cell lengths 5.6207, 5.6207, 4.4089 Å; angles 90.00, 90.00, 90.00 degrees
Space group P4/mmm (No. 123)
Unique sites:
K 0.0000 0.0000 0.0000 x1
Cd 0.5000 0.5000 0.5000 x1
Br 0.0000 0.5000 0.5000 x2
F 0.5000 0.5000 0.0000 x1

Computed properties:
The volume comes out at 27.86 Å³ per atom. The density is 3.938 g cm⁻³.

***

Tell me which of them is the least stable. Sure, it is Q.

***

--- P ---
Computed, not measured: a geometry-optimized RbCdBr2F structure at the PBE-GGA level of DFT.

Cell lengths 5.6577, 5.6577, 4.4506 Å; angles 90.00, 90.00, 90.00 degrees
Space group P4/mmm (No. 123)
Unique sites:
Rb 0.0000 0.0000 0.0000 x1
Cd 0.5000 0.5000 0.5000 x1
Br 0.0000 0.5000 0.5000 x2
F 0.5000 0.5000 0.0000 x1

Computed properties:
The volume comes out at 28.49 Å³ per atom. The density is 4.391 g cm⁻³.

***

--- Q ---
Computed, not measured: a geometry-optimized RbCdBr2F structure at the PBE-GGA level of DFT.

Cell lengths 8.0464, 4.2305, 9.9141 Å; angles 90.00, 111.13, 90.00 degrees
Space group P2_1/m (No. 11)
Unique sites:
Rb 0.1280 0.2500 0.3796 x2
Cd 0.3705 0.2500 0.8144 x2
Br 0.2835 0.7500 0.9782 x2
Br 0.4513 0.7500 0.6592 x2
F 0.0950 0.2500 0.6583 x2

Computed properties:
The volume comes out at 31.48 Å³ per atom. The density is 3.974 g cm⁻³.

***

Tell me which of them is the least stable. Sure, it is P.

***

--- P ---
Computed, not measured: a geometry-optimized CdSe2BrF structure at the PBE-GGA level of DFT.

Cell lengths 5.4911, 5.4911, 5.3382 Å; angles 90.00, 90.00, 90.00 degrees
Space group P4/mmm (No. 123)
Unique sites:
Cd 0.0000 0.0000 0.0000 x1
Se 0.0000 0.5000 0.0000 x2
Br 0.0000 0.0000 0.5000 x1
F 0.5000 0.5000 0.5000 x1

Computed properties:
The volume comes out at 32.19 Å³ per atom. The density is 3.809 g cm⁻³.

***

--- Q ---
Computed, not measured: a geometry-optimized CdSe2BrF structure at the PBE-GGA level of DFT.

Cell lengths 4.3542, 4.3542, 6.3301 Å; angles 90.00, 90.00, 90.00 degrees
Space group P4/mmm (No. 123)
Unique sites:
Cd 0.0000 0.0000 0.0000 x1
Se 0.0000 0.5000 0.5000 x2
Br 0.5000 0.5000 0.0000 x1
F 0.5000 0.5000 0.5000 x1

Computed properties:
The volume comes out at 24.00 Å³ per atom. The density is 5.109 g cm⁻³.

***

Tell me which of them is the least stable. Sure, it is P.

***

--- P ---
Computed, not measured: a geometry-optimized CdSeBr2F structure at the PBE-GGA level of DFT.

Cell lengths 5.3860, 5.3860, 5.6598 Å; angles 90.00, 90.00, 90.00 degrees
Space group P4/mmm (No. 123)
Unique sites:
Cd 0.0000 0.0000 0.0000 x1
Se 0.0000 0.0000 0.5000 x1
Br 0.0000 0.5000 0.0000 x2
F 0.5000 0.5000 0.5000 x1

Computed properties:
The volume comes out at 32.84 Å³ per atom. The density is 3.744 g cm⁻³.

***

--- Q ---
Computed, not measured: a geometry-optimized CdSeBr2F structure at the PBE-GGA level of DFT.

Cell lengths 5.7141, 5.7141, 3.9252 Å; angles 90.00, 90.00, 90.00 degrees
Space group P4/mmm (No. 123)
Unique sites:
Cd 0.0000 0.0000 0.0000 x1
Se 0.5000 0.5000 0.0000 x1
Br 0.0000 0.5000 0.5000 x2
F 0.5000 0.5000 0.5000 x1

Computed properties:
The volume comes out at 25.63 Å³ per atom. The density is 4.796 g cm⁻³.

***

Tell me which of them is the least stable. Sure, it is P.

***

--- P ---
Computed, not measured: a geometry-optimized CdFe2Br structure at the PBE-GGA level of DFT.

Cell lengths 5.7740, 8.2192, 3.0140 Å; angles 90.00, 94.82, 90.00 degrees
Space group C2/m (No. 12)
Unique sites:
Cd 0.0000 0.0000 0.0000 x2
Fe 0.2500 0.2500 0.5000 x4
Br 0.0000 0.5000 0.0000 x2

Computed properties:
The volume comes out at 17.82 Å³ per atom. The density is 7.083 g cm⁻³.

***

--- Q ---
Computed, not measured: a geometry-optimized CdFe2Br structure at the PBE-GGA level of DFT.

Cell lengths 3.1005, 4.0386, 6.5080 Å; angles 90.00, 90.00, 90.00 degrees
Space group Pmmm (No. 47)
Unique sites:
Cd 0.0000 0.0000 0.0000 x1
Fe 0.5000 0.5000 0.1797 x2
Br 0.0000 0.5000 0.5000 x1

Computed properties:
The volume comes out at 20.37 Å³ per atom. The density is 6.195 g cm⁻³.

***

--- R ---
Computed, not measured: a geometry-optimized CdFe2Br structure at the PBE-GGA level of DFT.

Cell lengths 3.1907, 3.1907, 7.5172 Å; angles 90.00, 90.00, 90.00 degrees
Space group P4mm (No. 99)
Unique sites:
Cd 0.0000 0.0000 0.0000 x1
Fe 0.0000 0.0000 0.3755 x1
Fe 0.5000 0.5000 0.2268 x1
Br 0.5000 0.5000 0.5811 x1

Computed properties:
The volume comes out at 19.13 Å³ per atom. The density is 6.596 g cm⁻³.

***

Tell me which of them is the least stable. Sure, it is P.

***

--- P ---
Computed, not measured: a geometry-optimized CdFe2Br structure at the PBE-GGA level of DFT.

Cell lengths 3.4754, 3.4754, 6.2769 Å; angles 90.00, 90.00, 90.00 degrees
Space group P4/mmm (No. 123)
Unique sites:
Cd 0.0000 0.0000 0.0000 x1
Fe 0.5000 0.5000 0.1876 x2
Br 0.0000 0.0000 0.5000 x1

Computed properties:
The volume comes out at 18.95 Å³ per atom. The density is 6.658 g cm⁻³.

***

--- Q ---
Computed, not measured: a geometry-optimized CdFe2Br structure at the PBE-GGA level of DFT.

Cell lengths 3.1569, 4.4948, 5.0921 Å; angles 90.00, 90.00, 90.00 degrees
Space group Pmmm (No. 47)
Unique sites:
Cd 0.0000 0.0000 0.0000 x1
Fe 0.0000 0.5000 0.5000 x1
Fe 0.5000 0.5000 0.0000 x1
Br 0.5000 0.0000 0.5000 x1

Computed properties:
The volume comes out at 18.06 Å³ per atom. The density is 6.987 g cm⁻³.

***

--- R ---
Computed, not measured: a geometry-optimized CdFe2Br structure at the PBE-GGA level of DFT.

Cell lengths 7.6501, 3.1819, 7.0337 Å; angles 90.00, 108.62, 90.00 degrees
Space group Cm (No. 8)
Unique sites:
Cd 0.0000 0.0000 0.0000 x2
Fe 0.2245 0.0000 0.7702 x2
Fe 0.4792 0.0000 0.6365 x2
Br 0.1994 0.5000 0.4230 x2

Computed properties:
The volume comes out at 20.28 Å³ per atom. The density is 6.223 g cm⁻³.

***

--- S ---
Computed, not measured: a geometry-optimized CdFe2Br structure at the PBE-GGA level of DFT.

Cell lengths 9.5602, 3.1143, 7.5447 Å; angles 90.00, 127.11, 90.00 degrees
Space group C2/m (No. 12)
Unique sites:
Cd 0.0000 0.0000 0.0000 x2
Fe 0.1588 0.5000 0.8574 x4
Br 0.0000 0.0000 0.5000 x2

Computed properties:
The volume comes out at 22.39 Å³ per atom. The density is 5.636 g cm⁻³.

***

Tell me which of them is the least stable. Sure, it is Q.

***

--- P ---
Computed, not measured: a geometry-optimized CdFe2Br structure at the PBE-GGA level of DFT.

Cell lengths 4.7109, 4.7109, 3.1240 Å; angles 90.00, 90.00, 90.00 degrees
Space group P4/mmm (No. 123)
Unique sites:
Cd 0.0000 0.0000 0.0000 x1
Fe 0.0000 0.5000 0.5000 x2
Br 0.5000 0.5000 0.0000 x1

Computed properties:
The volume comes out at 17.33 Å³ per atom. The density is 7.281 g cm⁻³.

***

--- Q ---
Computed, not measured: a geometry-optimized CdFe2Br structure at the PBE-GGA level of DFT.

Cell lengths 3.1792, 3.1792, 25.9169 Å; angles 90.00, 90.00, 120.00 degrees
Space group R3m (No. 160, hexagonal axes)
Unique sites:
Cd 0.0000 0.0000 0.0000 x3
Fe 0.0000 0.0000 0.4786 x3
Fe 0.0000 0.0000 0.7490 x3
Br 0.0000 0.0000 0.2141 x3

Computed properties:
The volume comes out at 18.90 Å³ per atom. The density is 6.676 g cm⁻³.

***

--- R ---
Computed, not measured: a geometry-optimized CdFe2Br structure at the PBE-GGA level of DFT.

Cell lengths 6.5331, 6.5331, 6.5331 Å; angles 90.00, 90.00, 90.00 degrees
Space group F-43m (No. 216)
Unique sites:
Cd 0.0000 0.0000 0.0000 x4
Fe 0.0000 0.0000 0.5000 x4
Fe 0.2500 0.2500 0.2500 x4
Br 0.2500 0.2500 0.7500 x4

Computed properties:
The volume comes out at 17.43 Å³ per atom. The density is 7.242 g cm⁻³.

***

--- S ---
Computed, not measured: a geometry-optimized CdFe2Br structure at the PBE-GGA level of DFT.

Cell lengths 3.9866, 3.9866, 9.1473 Å; angles 90.00, 90.00, 90.00 degrees
Space group I4/mmm (No. 139)
Unique sites:
Cd 0.0000 0.0000 0.0000 x2
Fe 0.0000 0.5000 0.2500 x4
Br 0.0000 0.0000 0.5000 x2

Computed properties:
The volume comes out at 18.17 Å³ per atom. The density is 6.945 g cm⁻³.

***

Tell me which of them is the least stable. Sure, it is R.

***

--- P ---
Computed, not measured: a geometry-optimized Cd2FeBr structure at the PBE-GGA level of DFT.

Cell lengths 3.1373, 4.7099, 12.7839 Å; angles 90.00, 90.00, 90.00 degrees
Space group Imm2 (No. 44)
Unique sites:
Cd 0.0000 0.0000 0.0000 x2
Cd 0.0000 0.5000 0.1454 x2
Fe 0.0000 0.5000 0.6781 x2
Br 0.0000 0.0000 0.3344 x2

Computed properties:
The volume comes out at 23.61 Å³ per atom. The density is 6.339 g cm⁻³.

***

--- Q ---
Computed, not measured: a geometry-optimized Cd2FeBr structure at the PBE-GGA level of DFT.

Cell lengths 3.2462, 3.2462, 7.9627 Å; angles 90.00, 90.00, 90.00 degrees
Space group P4/mmm (No. 123)
Unique sites:
Cd 0.0000 0.0000 0.2156 x2
Fe 0.5000 0.5000 0.0000 x1
Br 0.5000 0.5000 0.5000 x1

Computed properties:
The volume comes out at 20.98 Å³ per atom. The density is 7.136 g cm⁻³.

***

Tell me which of them is the least stable. Sure, it is Q.

***

--- P ---
Computed, not measured: a geometry-optimized CdFe3Br structure at the PBE-GGA level of DFT.

Cell lengths 4.9651, 4.9651, 4.9651 Å; angles 90.00, 90.00, 90.00 degrees
Space group Pm-3m (No. 221)
Unique sites:
Cd 0.0000 0.0000 0.0000 x1
Fe 0.0000 0.0000 0.5000 x3
Br 0.5000 0.5000 0.5000 x1

Computed properties:
The volume comes out at 24.48 Å³ per atom. The density is 4.882 g cm⁻³.

***

--- Q ---
Computed, not measured: a geometry-optimized CdFe3Br structure at the PBE-GGA level of DFT.

Cell lengths 4.3982, 4.3982, 4.3982 Å; angles 90.00, 90.00, 90.00 degrees
Space group Pm-3m (No. 221)
Unique sites:
Cd 0.0000 0.0000 0.0000 x1
Fe 0.0000 0.5000 0.5000 x3
Br 0.5000 0.5000 0.5000 x1

Computed properties:
The volume comes out at 17.02 Å³ per atom. The density is 7.023 g cm⁻³.

***

Tell me which of them is the least stable. Sure, it is P.

***

--- P ---
Computed, not measured: a geometry-optimized CdFeBr structure at the PBE-GGA level of DFT.

Cell lengths 6.5170, 6.5170, 6.5170 Å; angles 90.00, 90.00, 90.00 degrees
Space group F-43m (No. 216)
Unique sites:
Cd 0.0000 0.0000 0.0000 x4
Fe 0.2500 0.2500 0.7500 x4
Br 0.0000 0.0000 0.5000 x4

Computed properties:
The volume comes out at 23.07 Å³ per atom. The density is 5.955 g cm⁻³.

***

--- Q ---
Computed, not measured: a geometry-optimized CdFeBr structure at the PBE-GGA level of DFT.

Cell lengths 3.4000, 3.4000, 6.4705 Å; angles 90.00, 90.00, 120.00 degrees
Space group P3m1 (No. 156)
Unique sites:
Cd 0.0000 0.0000 0.0000 x1
Fe 0.3333 0.6667 0.3012 x1
Br 0.6667 0.3333 0.5475 x1

Computed properties:
The volume comes out at 21.59 Å³ per atom. The density is 6.361 g cm⁻³.

***

Tell me which of them is the least stable. Sure, it is P.

***

--- P ---
Computed, not measured: a geometry-optimized CdGa2Br5 structure at the PBE-GGA level of DFT.

Cell lengths 5.5287, 13.8311, 14.0780 Å; angles 90.00, 90.00, 90.00 degrees
Space group Cmcm (No. 63)
Unique sites:
Cd 0.0000 0.2017 0.2500 x4
Ga 0.0000 0.1434 0.5637 x8
Br 0.0000 0.0565 0.1148 x8
Br 0.0000 0.2645 0.7500 x4
Br 0.0000 0.3324 0.0852 x8

Computed properties:
The volume comes out at 33.64 Å³ per atom. The density is 4.019 g cm⁻³.

***

--- Q ---
Computed, not measured: a geometry-optimized CdGa2Br5 structure at the PBE-GGA level of DFT.

Cell lengths 4.4661, 16.0868, 9.2017 Å; angles 90.00, 104.00, 90.00 degrees
Space group P2_1/m (No. 11)
Unique sites:
Cd 0.1269 0.2500 0.2542 x2
Ga 0.0902 0.6686 0.1874 x4
Br 0.0464 0.1144 0.0887 x4
Br 0.2897 0.7500 0.5793 x2
Br 0.3626 0.1047 0.7187 x4

Computed properties:
The volume comes out at 40.09 Å³ per atom. The density is 3.372 g cm⁻³.

***

Tell me which of them is the least stable. Sure, it is P.